This record from Alexandria via LeMat-Bulk describes crystalline AcGdCoAu at its relaxed geometry. The functional is PBE-GGA.

extended XYZ file:
```
4
Lattice="0.0000 3.6738 3.6738 3.6738 0.0000 3.6738 3.6738 3.6738 0.0000" Properties=species:S:1:pos:R:3 pbc="T T T"
Ac 0.0000 0.0000 0.0000
Gd 3.6738 3.6738 3.6738
Co 5.5108 5.5108 5.5108
Au 1.8369 1.8369 1.8369
```

Properties
Energy of formation from the pure elements   -0.27 eV/atom
Calculated volume   99.2 Å³ per cell
D(E_F)   4.42 states/eV/f.u.

=====

This record from Alexandria via LeMat-Bulk describes crystalline Ac5CoHAu2 at its relaxed geometry. The functional is PBE-GGA.

extended XYZ file:
```
18
Lattice="2.0914 -9.4298 0.0000 2.0914 9.4298 0.0000 0.0000 0.0000 13.7648" Properties=species:S:1:pos:R:3 pbc="T T T"
Ac 2.0914 9.4016 6.8824
Ac 2.0914 6.7447 10.3882
Ac 2.0914 5.6787 1.5636
Ac 2.0914 5.6097 5.5297
Ac 2.0914 0.9605 10.2431
Ac 2.0914 -0.9605 3.3607
Ac 2.0914 -5.6097 12.4121
Ac 2.0914 -5.6787 8.4460
Ac 2.0914 -6.7447 3.5058
Ac 2.0914 -9.4016 0.0000
Co 2.0914 3.8640 10.4205
Co 2.0914 -3.8640 3.5381
H 2.0914 8.1576 2.0651
H 2.0914 -8.1576 8.9475
Au 2.0914 2.3486 0.9322
Au 2.0914 2.2936 6.0605
Au 2.0914 -2.2936 12.9429
Au 2.0914 -2.3486 7.8147
```

Properties
Calculated volume   542.9 Å³ per cell
Total energy   -41.7 eV per formula unit
D(E_F)   7.55 states/eV/f.u.

=====

This record from Alexandria via LeMat-Bulk describes crystalline Ac2CoH6Au at its relaxed geometry. The functional is PBE-GGA.

extended XYZ file:
```
10
Lattice="-2.7870 2.7870 3.9102 2.7870 -2.7870 3.9102 2.7870 2.7870 -3.9102" Properties=species:S:1:pos:R:3 pbc="T T T"
Ac 2.7870 0.0000 0.0000
Ac 0.0000 2.7870 0.0000
Co 0.0000 0.0000 1.9592
H 0.0000 0.0000 0.3460
H 1.6449 1.6449 -1.9518
H 1.1421 -1.1421 1.9584
H -1.1421 1.1421 1.9584
H 1.1421 1.1421 1.9584
H 0.0000 0.0000 3.5737
Au 0.0000 0.0000 5.8717
```

Properties
Calculated volume   121.5 Å³ per cell
Total energy   -42.5 eV per formula unit
D(E_F)   5.20 states/eV/f.u.

=====

This record from Alexandria via LeMat-Bulk describes crystalline Ac8Co3AuI4 at its relaxed geometry. The functional is PBE-GGA.

extended XYZ file:
```
16
Lattice="7.5639 -4.3754 0.0000 7.5639 4.3754 0.0000 -5.0450 0.0000 8.6008" Properties=species:S:1:pos:R:3 pbc="T T T"
Ac 3.7047 2.3084 5.8756
Ac -0.0118 0.0000 5.8787
Ac 2.3811 0.0000 2.7335
Ac 6.3781 2.3084 2.7252
Ac 3.7047 -2.3084 5.8756
Ac 7.7018 0.0000 5.8672
Ac 10.0946 0.0000 2.7221
Ac 6.3781 -2.3084 2.7252
Co -2.5225 0.0000 4.3004
Co 1.2595 2.1877 4.3004
Co 1.2595 -2.1877 4.3004
Au 5.0414 0.0000 4.3004
I 0.0000 0.0000 0.0000
I 3.7820 2.1877 0.0000
I 3.7820 -2.1877 0.0000
I 7.5639 0.0000 0.0000
```

Properties
Calculated volume   569.3 Å³ per cell
Total energy   -74.9 eV per formula unit
D(E_F)   8.59 states/eV/f.u.